Here is a relaxed AsH3Ru crystal from the Alexandria database. Energies are from PBEsol.

Summary:
SG ... Pm-3m
M_tot ... 1.53 μB per formula unit
Energy ... -3.926 eV per atom

Unit cell a=3.522 b=3.522 c=3.522 alpha=90.00 beta=90.00 gamma=90.00
Fractional positions:
As1 0.000 0.000 0.000
H1 0.000 0.000 0.500
H2 0.000 0.500 0.000
H3 0.500 0.000 0.000
Ru1 0.500 0.500 0.500